(1)
This record from Alexandria via LeMat-Bulk describes a relaxed structure of V2BiMoSe. The functional is PBE.

As for the formation energy (no corrections): 1233 meV/atom. The value obtained for the calculated density is 7.19 g/cm3. The density of states at the Fermi level is 6.35 states/eV/f.u.

It has space group P4/mmm (No. 123), with a = 4.494 Å, b = 4.494 Å, c = 5.559 Å, α = 90.00°, β = 90.00° and γ = 90.00°. The distinct sites, in fractional coordinates, are V at (0.000, 0.500, 0.000), Bi at (0.000, 0.000, 0.500), Mo at (0.500, 0.500, 0.500) and Se at (0.000, 0.000, 0.000).

(2)
This record from Alexandria via LeMat-Bulk describes a relaxed structure of Be2CuNi. The functional is PBE.

The value obtained for the calculated density is 6.13 g/cm3. For the energy of formation, the calculation gives -0.155 eV/atom. The density of states at the Fermi level is 1.18 states/eV/f.u.

It has space group P4mm (No. 99), with a = 2.634 Å, b = 2.634 Å, c = 5.479 Å, α = 90.00°, β = 90.00° and γ = 90.00°. The distinct sites, in fractional coordinates, are Be at (0.000, 0.000, 0.000), Be at (0.500, 0.500, 0.225), Cu at (0.000, 0.000, 0.469) and Ni at (0.500, 0.500, 0.785).

(3)
This record from Alexandria via LeMat-Bulk describes a relaxed structure of NaBeInAu3. The functional is PBE.

The value obtained for the calculated density is 10.06 g/cm3. For the energy of formation, the calculation gives -0.172 eV/atom. The density of states at the Fermi level is 1.80 states/eV/f.u.

It has space group C2/c (No. 15), with a = 6.128 Å, b = 13.983 Å, c = 5.950 Å, α = 90.00°, β = 107.11° and γ = 90.00°. The distinct sites, in fractional coordinates, are Na at (0.000, 0.236, 0.250), Be at (0.000, 0.007, 0.750), In at (0.000, 0.374, 0.750), Au at (0.000, 0.178, 0.750) and Au at (0.222, 0.445, 0.432).

(4)
This record from Alexandria via LeMat-Bulk describes a relaxed structure of MgRu2Pb. The functional is PBE.

The value obtained for the calculated density is 10.05 g/cm3. For the energy of formation, the calculation gives 0.568 eV/atom. The density of states at the Fermi level is 4.52 states/eV/f.u.

It has space group Cmmm (No. 65), with a = 3.305 Å, b = 5.079 Å, c = 8.534 Å, α = 90.00°, β = 90.00° and γ = 90.00°. The distinct sites, in fractional coordinates, are Mg at (0.000, 0.000, 0.000), Ru at (0.000, 0.500, 0.246) and Pb at (0.000, 0.000, 0.500).

What is the calculated density in the second record?
6.13 g/cm3

Which formula does entry 2 have?
Be2CuNi

The lowest calculated density belongs to which entry?
Be2CuNi